Material: La4TbNdTm2
Method: DFT, GGA-PBE
State: optimized geometry

abc: 5.9851 5.9874 7.7203
angles: 90.00 90.00 90.00
Fractional positions:
La 0.0000 0.0000 0.2432
La 0.0000 0.0000 0.7568
La 0.5000 0.5000 0.2451
La 0.5000 0.5000 0.7549
Tb 0.5000 0.0000 0.0000
Nd 0.0000 0.5000 0.5000
Tm 0.0000 0.5000 0.0000
Tm 0.5000 0.0000 0.5000

Properties
Energy of formation from the pure elements in eV per atom: 0.083
Symmetry: Pmmm, No. 47
Total energy in eV/atom: -4.674

***

Material: La3Tb6Nd2Tm
Method: DFT, GGA-PBE
State: optimized geometry

abc: 6.2791 6.2791 11.9562
angles: 95.02 95.02 120.02
Fractional positions:
La 0.0000 0.0000 0.0000
La 0.3327 0.6673 0.0000
La 0.6673 0.3327 0.0000
Tb 0.0859 0.4182 0.2535
Tb 0.2497 0.2497 0.7469
Tb 0.4182 0.0859 0.2535
Tb 0.5818 0.9141 0.7465
Tb 0.7503 0.7503 0.2531
Tb 0.9141 0.5818 0.7465
Nd 0.1664 0.8336 0.5000
Nd 0.8336 0.1664 0.5000
Tm 0.5000 0.5000 0.5000

Properties
Energy of formation from the pure elements in eV per atom: 0.016
Symmetry: C2/m, No. 12
Total energy in eV/atom: -4.698

***

Material: LaTbNdTm
Method: DFT, GGA-PBE
State: optimized geometry

abc: 8.1538 8.1538 8.1538
angles: 90.00 90.00 90.00
Fractional positions:
La 0.0000 0.0000 0.0000
La 0.0000 0.5000 0.5000
La 0.5000 0.0000 0.5000
La 0.5000 0.5000 0.0000
Tb 0.2500 0.2500 0.7500
Tb 0.2500 0.7500 0.2500
Tb 0.7500 0.2500 0.2500
Tb 0.7500 0.7500 0.7500
Nd 0.0000 0.0000 0.5000
Nd 0.0000 0.5000 0.0000
Nd 0.5000 0.0000 0.0000
Nd 0.5000 0.5000 0.5000
Tm 0.2500 0.2500 0.2500
Tm 0.2500 0.7500 0.7500
Tm 0.7500 0.2500 0.7500
Tm 0.7500 0.7500 0.2500

Properties
Energy of formation from the pure elements in eV per atom: 0.097
Symmetry: F-43m, No. 216
Total energy in eV/atom: -4.602